[1]
## ZnCuSb2 (PBE)

Data for a relaxed structure of ZnCuSb2.

Values from the calculation:
total magnetization	0.0	Bohr magnetons per cell
raw total energy	-13.13	eV per formula unit
volume	90	Å³/cell
space group	No. 35

Geometry as extended XYZ:
```
4
Lattice="2.292 -2.515 0.000 2.292 2.515 0.000 0.000 0.000 7.817" Properties=species:S:1:pos:R:3 pbc="T T T"
Zn 0.000 0.000 0.000
Cu 2.292 0.000 1.184
Sb 0.000 0.000 2.756
Sb 2.292 0.000 6.172
```



[2]
## ZnCuSb2 (PBE)

Data for a relaxed structure of ZnCuSb2.

Values from the calculation:
total magnetization	0.0	Bohr magnetons per cell
raw total energy	-12.60	eV per formula unit
volume	84	Å³/cell
space group	No. 123

Geometry as extended XYZ:
```
4
Lattice="3.284 0.000 0.000 0.000 3.284 0.000 0.000 0.000 7.764" Properties=species:S:1:pos:R:3 pbc="T T T"
Zn 0.000 0.000 0.000
Cu 0.000 0.000 3.882
Sb 1.642 1.642 2.114
Sb 1.642 1.642 5.650
```



[3]
## ZnCuSb2 (PBE)

Data for a relaxed structure of ZnCuSb2.

Values from the calculation:
total magnetization	0.0	Bohr magnetons per cell
raw total energy	-12.54	eV per formula unit
volume	85	Å³/cell
space group	No. 119

Geometry as extended XYZ:
```
4
Lattice="-1.988 1.988 5.369 1.988 -1.988 5.369 1.988 1.988 -5.369" Properties=species:S:1:pos:R:3 pbc="T T T"
Zn 0.000 0.000 0.000
Cu 1.988 0.000 2.684
Sb 0.000 0.000 5.369
Sb 0.000 1.988 2.684
```